A relaxed KPdN2 crystal, computed with PBE.

Computed properties:
calculated total energy: -22.8 eV/f.u.
energy relative to the elements, uncorrected: 4 kJ/mol of atoms
energy above the most stable polymorph in this dataset: 0.00 eV per formula unit
total moment: 0.00 μB per formula unit

Lattice parameters (Å, degrees): 12.1530 12.1530 3.0761 89.82 89.82 158.36
Atoms (fractional coordinates):
K  0.6357  0.3643  0.7500
N  0.0642  0.1852  0.7480
Pd  0.0000  0.5000  0.0000
N  0.9358  0.8148  0.2520
K  0.3643  0.6357  0.2500
N  0.1852  0.0642  0.2480
N  0.8148  0.9358  0.7520
Pd  0.5000  0.0000  0.5000